An optimized crystal structure of Mn2ZnCu. Source: Alexandria via LeMat-Bulk, functional PBE.

D(E_F): 0.692 states/eV per atom
uncorrected energy: -5.8623 eV per atom
calculated formation energy: 65 meV per atom

Lattice parameters (Å, degrees): 2.880 2.880 6.118 90.00 90.00 90.00
Each line ends with the local moment (μB).
Fractional positions:
Cu 0.500 0.500 0.755  0.08
Mn 0.000 0.000 0.018  2.81
Mn 0.500 0.500 0.227  -1.98
Zn 0.000 0.000 0.501  0.03

An optimized crystal structure of MnZnCu3. Source: Alexandria via LeMat-Bulk, functional PBE.

D(E_F): 0.463 states/eV per atom
uncorrected energy: -3.7597 eV per atom
calculated formation energy: 787 meV per atom
offset from the most stable computed form: 0.0 meV/atom

Lattice parameters (Å, degrees): 4.421 4.421 4.421 90.00 90.00 90.00
Each line ends with the local moment (μB).
Fractional positions:
Zn 0.000 0.000 0.000  -0.03
Mn 0.500 0.500 0.500  4.24
Cu 0.000 0.500 0.000  -0.02
Cu 0.000 0.000 0.500  0.01
Cu 0.500 0.000 0.000  -0.01